# Mg2SbIr3 (GGA-PBE, relaxed)
data_Mg2SbIr3
_symmetry_space_group_name_H-M 'P -3 m 1'
_symmetry_Int_Tables_number 164
_symmetry_space_group_name_Hall '-P 3 2"'
_cell_length_a 4.4693
_cell_length_b 4.4693
_cell_length_c 5.4480
_cell_angle_alpha 90.00
_cell_angle_beta 90.00
_cell_angle_gamma 120.00
loop_
_atom_site_label
_atom_site_type_symbol
_atom_site_fract_x
_atom_site_fract_y
_atom_site_fract_z
_atom_site_occupancy
Mg1 Mg 0.3333 0.6667 0.3486 1
Sb1 Sb 0.0000 0.0000 0.0000 1
Ir1 Ir 0.0000 0.0000 0.5000 1
Ir2 Ir 0.3333 0.6667 0.8413 1
# total DFT energy (no corrections): -5.9574 eV per atom